[1]
Ca2FeSi2 | GGA-PBE | optimized geometry

Results
**E_form (uncorrected)**: -0.229 eV/atom
**Symmetry**: P4/mbm (127)

Cell and atoms, written as POSCAR:
```
Ca2FeSi2
1.0
6.561 0.000 0.000
0.000 6.561 0.000
0.000 0.000 4.640
Si Ca Fe
4 4 2
direct
0.362 0.862 0.000
0.138 0.362 0.000
0.638 0.138 0.000
0.862 0.638 0.000
0.672 0.828 0.500
0.328 0.172 0.500
0.172 0.672 0.500
0.828 0.328 0.500
0.000 0.000 0.000
0.500 0.500 0.000
```


[2]
CaFeSi2 | GGA-PBE | optimized geometry

Results
**E_form (uncorrected)**: 0.242 eV/atom
**Symmetry**: I-4m2 (119)

Cell and atoms, written as POSCAR:
```
CaFeSi2
1.0
5.168 0.121 0.000
2.017 4.760 0.000
-3.593 -2.441 2.804
Ca Si Fe
1 2 1
direct
0.500 0.500 0.000
0.000 0.000 0.000
0.750 0.250 0.500
0.250 0.750 0.500
```


[3]
CaFe2Si | GGA-PBE | optimized geometry

Results
**E_form (uncorrected)**: 0.019 eV/atom
**Symmetry**: P4mm (99)

Cell and atoms, written as POSCAR:
```
CaFe2Si
1.0
-2.037 0.067 -2.278
0.717 -2.880 -0.725
-4.844 -2.280 4.265
Si Fe Ca
1 2 1
direct
0.000 0.000 0.428
0.000 0.000 0.073
0.500 0.500 0.251
0.500 0.500 0.748
```


[4]
CaFeSi2 | GGA-PBE | optimized geometry

Results
**E_form (uncorrected)**: -0.344 eV/atom
**Symmetry**: R3m (160)

Cell and atoms, written as POSCAR:
```
CaFeSi2
1.0
3.931 -0.072 0.029
2.026 3.369 0.029
1.946 1.077 5.377
Fe Ca Si
1 1 2
direct
0.325 0.325 0.024
0.507 0.507 0.478
0.702 0.702 0.896
0.966 0.966 0.102
```


[5]
Ca2FeSi | GGA-PBE | optimized geometry

Results
**E_form (uncorrected)**: 0.135 eV/atom
**Symmetry**: I-42d (122)

Cell and atoms, written as POSCAR:
```
Ca2FeSi
1.0
-5.456 -1.796 8.652
-4.923 -7.827 -4.729
-3.641 -6.201 2.649
Ca Si Fe
4 2 2
direct
0.937 0.625 0.250
0.875 0.063 0.750
0.375 0.187 0.750
0.813 0.125 0.250
0.250 0.750 0.500
0.500 0.500 0.000
0.750 0.250 0.500
0.000 0.000 0.000
```


[6]
Ca2FeSi2 | GGA-PBE | optimized geometry

Results
**E_form (uncorrected)**: 0.261 eV/atom
**Symmetry**: I4/mmm (139)

Cell and atoms, written as POSCAR:
```
Ca2FeSi2
1.0
-1.750 1.750 9.156
1.750 -1.750 9.156
1.750 1.750 -9.156
Fe Ca Si
1 2 2
direct
0.000 0.000 0.000
0.393 0.393 0.000
0.607 0.607 0.000
0.250 0.750 0.500
0.750 0.250 0.500
```


[7]
CaFeSi2 | GGA-PBE | optimized geometry

Results
**E_form (uncorrected)**: -0.111 eV/atom
**Symmetry**: Pm (6)

Cell and atoms, written as POSCAR:
```
CaFeSi2
1.0
3.678 0.000 0.000
0.000 2.983 -0.161
0.000 0.288 6.295
Si Ca Fe
2 1 1
direct
0.500 0.126 0.190
0.000 0.123 0.924
0.000 0.631 0.484
0.500 0.621 0.901
```


[8]
CaFe2Si | GGA-PBE | optimized geometry

Results
**E_form (uncorrected)**: 0.098 eV/atom
**Symmetry**: P2/m (10)

Cell and atoms, written as POSCAR:
```
CaFe2Si
1.0
-0.059 3.090 -0.204
-3.118 -0.044 0.235
-2.657 0.384 6.582
Fe Ca Si
2 1 1
direct
0.000 0.576 0.425
0.000 0.924 0.075
0.500 0.750 0.750
0.500 0.250 0.250
```